No. 1
First-principles (SCAN) data for a PBEsol-optimized structure of Re2Si, as listed in Alexandria.

Geometry as POSCAR:
```
Re2Si
1.0
-1.454 1.454 4.757
1.454 -1.454 4.757
1.454 1.454 -4.757
Re Si
2 1
direct
0.158 0.158 0.000 Re
0.842 0.842 0.000 Re
0.500 0.500 0.000 Si
```

Computed properties:
The formation energy from raw total energies comes out at -0.256 eV/atom. For the raw total energy, the calculation gives -50.9928 eV/atom. As for the crystal system: tetragonal.

No. 2
First-principles (SCAN) data for a PBEsol-optimized structure of Re2Si, as listed in Alexandria.

Geometry as POSCAR:
```
Re2Si
1.0
5.135 -1.445 0.000
5.135 1.445 0.000
-1.334 0.000 5.556
Re Si
4 2
direct
0.030 0.030 0.280 Re
0.314 0.314 0.362 Re
0.686 0.686 0.638 Re
0.970 0.970 0.720 Re
0.351 0.351 0.954 Si
0.649 0.649 0.046 Si
```

Computed properties:
The formation energy from raw total energies comes out at -0.263 eV/atom. For the raw total energy, the calculation gives -51.0000 eV/atom. As for the crystal system: monoclinic.

No. 3
First-principles (SCAN) data for a PBEsol-optimized structure of ReSi3, as listed in Alexandria.

Geometry as POSCAR:
```
ReSi3
1.0
-1.678 1.678 10.188
1.678 -1.678 10.188
1.678 1.678 -10.188
Re Si
2 6
direct
0.162 0.162 0.000 Re
0.838 0.838 0.000 Re
0.000 0.500 0.500 Si
0.250 0.750 0.500 Si
0.397 0.397 0.000 Si
0.500 0.000 0.500 Si
0.603 0.603 0.000 Si
0.750 0.250 0.500 Si
```

Computed properties:
The formation energy from raw total energies comes out at 0.283 eV/atom. For the raw total energy, the calculation gives -25.0035 eV/atom. As for the crystal system: tetragonal.

No. 4
First-principles (SCAN) data for a PBEsol-optimized structure of ReSi2, as listed in Alexandria.

Geometry as POSCAR:
```
ReSi2
1.0
-1.583 1.583 3.897
1.583 -1.583 3.897
1.583 1.583 -3.897
Re Si
1 2
direct
0.000 0.000 0.000 Re
0.332 0.332 0.000 Si
0.668 0.668 0.000 Si
```

Computed properties:
The formation energy from raw total energies comes out at -0.144 eV/atom. For the raw total energy, the calculation gives -30.5204 eV/atom. As for the crystal system: tetragonal.

No. 5
First-principles (SCAN) data for a PBEsol-optimized structure of Re3Si, as listed in Alexandria.

Geometry as POSCAR:
```
Re3Si
1.0
-1.464 2.182 4.317
1.464 -2.182 4.317
1.464 2.182 -4.317
Re Si
3 1
direct
0.000 0.000 0.000 Re
0.270 0.770 0.500 Re
0.730 0.230 0.500 Re
0.500 0.500 0.000 Si
```

Computed properties:
The formation energy from raw total energies comes out at -0.116 eV/atom. For the raw total energy, the calculation gives -55.9435 eV/atom. As for the crystal system: orthorhombic.

No. 6
First-principles (SCAN) data for a PBEsol-optimized structure of Re2Si, as listed in Alexandria.

Geometry as POSCAR:
```
Re2Si
1.0
2.775 0.000 0.000
-1.388 2.403 0.000
0.000 0.000 6.293
Re Si
2 1
direct
0.333 0.667 0.331 Re
0.667 0.333 0.669 Re
0.000 0.000 0.000 Si
```

Computed properties:
The formation energy from raw total energies comes out at -0.030 eV/atom. For the raw total energy, the calculation gives -50.7671 eV/atom. As for the crystal system: trigonal.

No. 7
First-principles (SCAN) data for a PBEsol-optimized structure of ReSi2, as listed in Alexandria.

Geometry as POSCAR:
```
ReSi2
1.0
4.473 0.000 0.000
-2.237 3.874 0.000
0.000 0.000 2.515
Re Si
1 2
direct
0.000 0.000 0.000 Re
0.333 0.667 0.000 Si
0.667 0.333 0.000 Si
```

Computed properties:
The formation energy from raw total energies comes out at 0.368 eV/atom. For the raw total energy, the calculation gives -30.0085 eV/atom. As for the crystal system: hexagonal.

No. 8
First-principles (SCAN) data for a PBEsol-optimized structure of Re3Si, as listed in Alexandria.

Geometry as POSCAR:
```
Re3Si
1.0
2.841 0.000 0.000
-1.420 2.460 0.000
0.000 0.000 8.042
Re Si
3 1
direct
0.000 0.000 0.000 Re
0.667 0.333 0.265 Re
0.667 0.333 0.735 Re
0.000 0.000 0.500 Si
```

Computed properties:
The formation energy from raw total energies comes out at -0.097 eV/atom. For the raw total energy, the calculation gives -55.9241 eV/atom. As for the crystal system: hexagonal.

No. 9
First-principles (SCAN) data for a PBEsol-optimized structure of Re3Si2, as listed in Alexandria.

Geometry as POSCAR:
```
Re3Si2
1.0
4.071 0.000 0.000
-2.035 3.525 0.000
0.000 0.000 5.067
Re Si
3 2
direct
0.000 0.000 0.000 Re
0.333 0.667 0.331 Re
0.667 0.333 0.669 Re
0.333 0.667 0.819 Si
0.667 0.333 0.181 Si
```

Computed properties:
The formation energy from raw total energies comes out at 0.287 eV/atom. For the raw total energy, the calculation gives -46.3778 eV/atom. As for the crystal system: trigonal.

No. 10
First-principles (SCAN) data for a PBEsol-optimized structure of ReSi3, as listed in Alexandria.

Geometry as POSCAR:
```
ReSi3
1.0
3.041 0.000 0.000
0.000 4.270 0.000
0.000 0.000 4.169
Re Si
1 3
direct
0.000 0.000 0.000 Re
0.000 0.500 0.308 Si
0.500 0.000 0.481 Si
0.500 0.500 0.810 Si
```

Computed properties:
The formation energy from raw total energies comes out at 0.339 eV/atom. For the raw total energy, the calculation gives -24.9470 eV/atom. As for the crystal system: orthorhombic.

No. 11
First-principles (SCAN) data for a PBEsol-optimized structure of Sm2Re3Si5, as listed in Alexandria.

Geometry as POSCAR:
```
Sm2Re3Si5
1.0
10.943 0.000 0.000
0.000 10.943 0.000
0.000 0.000 5.552
Sm Re Si
8 12 20
direct
0.077 0.237 0.000 Sm
0.237 0.923 0.000 Sm
0.263 0.423 0.500 Sm
0.423 0.737 0.500 Sm
0.577 0.263 0.500 Sm
0.737 0.577 0.500 Sm
0.763 0.077 0.000 Sm
0.923 0.763 0.000 Sm
0.000 0.500 0.250 Re
0.000 0.500 0.750 Re
0.123 0.853 0.500 Re
0.147 0.123 0.500 Re
0.353 0.623 0.000 Re
0.377 0.353 0.000 Re
0.500 0.000 0.250 Re
0.500 0.000 0.750 Re
0.623 0.647 0.000 Re
0.647 0.377 0.000 Re
0.853 0.877 0.500 Re
0.877 0.147 0.500 Re
0.000 0.000 0.249 Si
0.000 0.000 0.751 Si
0.027 0.315 0.500 Si
0.172 0.672 0.250 Si
0.172 0.672 0.750 Si
0.185 0.473 0.000 Si
0.315 0.973 0.500 Si
0.328 0.172 0.250 Si
0.328 0.172 0.750 Si
0.473 0.815 0.000 Si
0.500 0.500 0.251 Si
0.500 0.500 0.749 Si
0.527 0.185 0.000 Si
0.672 0.828 0.250 Si
0.672 0.828 0.750 Si
0.685 0.027 0.500 Si
0.815 0.527 0.000 Si
0.828 0.328 0.250 Si
0.828 0.328 0.750 Si
0.973 0.685 0.500 Si
```

Computed properties:
The formation energy from raw total energies comes out at -0.600 eV/atom. For the raw total energy, the calculation gives -35.8259 eV/atom. As for the crystal system: tetragonal.

No. 12
First-principles (SCAN) data for a PBEsol-optimized structure of SrReSi2, as listed in Alexandria.

Geometry as POSCAR:
```
SrReSi2
1.0
3.144 0.000 0.000
0.000 3.144 0.000
0.000 0.000 7.149
Sr Re Si
1 1 2
direct
0.000 0.000 0.000 Sr
0.000 0.000 0.500 Re
0.500 0.500 0.318 Si
0.500 0.500 0.682 Si
```

Computed properties:
The formation energy from raw total energies comes out at -0.174 eV/atom. For the raw total energy, the calculation gives -28.5254 eV/atom. As for the crystal system: tetragonal.

What is the formation energy from raw total energies in the twelfth record?
-0.174 eV/atom

Which formula does entry 4 have?
ReSi2

Look up the raw total energy of the eleventh one.
-35.8259 eV/atom